# Cd2InSe

Crystalline Cd2InSe at its relaxed geometry (PBE, Alexandria via LeMat-Bulk).

Computed properties:
Relative energy among the computed polymorphs   0.0887 eV per atom

Geometry as CIF:
```
data_Cd2InSe
_chemical_formula_sum 'Cd2 In1 Se1'
_cell_length_a 3.0038
_cell_length_b 3.9537
_cell_length_c 8.2768
_cell_angle_alpha 90.00
_cell_angle_beta 90.02
_cell_angle_gamma 90.00
_space_group_name_H-M_alt 'P 1 m 1'
_space_group_IT_number 6
loop_
_space_group_symop_operation_xyz
'x,y,z'
'x,-y,z'
loop_
_atom_site_label
_atom_site_fract_x
_atom_site_fract_y
_atom_site_fract_z
Cd1 0.0000 0.0000 0.0000
Cd2 0.4982 0.5000 0.7721
In1 0.5005 0.5000 0.2617
Se1 0.5023 0.0000 0.5158
```

=====

# YMnV3

Crystalline YMnV3 at its relaxed geometry (PBE, Alexandria via LeMat-Bulk).

Computed properties:
Relative energy among the computed polymorphs   1.5959 eV per atom
DFT formation energy   2.067 eV per atom

Geometry as CIF:
```
data_YMnV3
_chemical_formula_sum 'Y1 Mn1 V3'
_cell_length_a 4.6924
_cell_length_b 4.6924
_cell_length_c 4.6924
_cell_angle_alpha 90.00
_cell_angle_beta 90.00
_cell_angle_gamma 90.00
_space_group_name_H-M_alt 'P m -3 m'
_space_group_IT_number 221
_space_group_name_Hall '-P 4 2 3'
loop_
_atom_site_label
_atom_site_fract_x
_atom_site_fract_y
_atom_site_fract_z
Y1 0.0000 0.0000 0.0000
Mn1 0.5000 0.5000 0.5000
V1 0.0000 0.0000 0.5000
```